Entry 1:
Material: SmI
Method: DFT, PBE
State: optimized geometry

Output
calculated total energy	-3.701	eV per atom

Cell lengths 4.4475, 4.4475, 4.4475 Å; angles 60.00, 60.00, 60.00 degrees
Closest atoms and distances in Å follow each position.
Atoms (fractional coordinates):
Sm1 0.0000 0.0000 0.0000  6 I 3.14
I1 0.5000 0.5000 0.5000  6 Sm 3.14


Entry 2:
Material: LiLuCoSn
Method: DFT, PBE
State: optimized geometry

Output
energy above the lowest structure with this stoichiometry	0	meV per atom
calculated total energy	-4.780	eV per atom

Cell lengths 4.5616, 4.5616, 4.5616 Å; angles 60.00, 60.00, 60.00 degrees
Closest atoms and distances in Å follow each position.
Atoms (fractional coordinates):
Li1 0.0000 0.0000 0.0000  4 Sn 2.79, 4 Lu 2.79
Lu1 0.7500 0.7500 0.7500  4 Co 2.79, 4 Li 2.79
Co1 0.5000 0.5000 0.5000  4 Lu 2.79, 4 Sn 2.79
Sn1 0.2500 0.2500 0.2500  4 Co 2.79, 4 Li 2.79


Entry 3:
Material: ZrScCoSb
Method: DFT, PBE
State: optimized geometry

Output
energy above the lowest structure with this stoichiometry	0	meV per atom
calculated total energy	-6.543	eV per atom

Cell lengths 4.7070, 4.7070, 4.7070 Å; angles 60.00, 60.00, 60.00 degrees
Closest atoms and distances in Å follow each position.
Atoms (fractional coordinates):
Zr1 0.0000 0.0000 0.0000  4 Co 2.88, 4 Sc 2.88
Sc1 0.2500 0.2500 0.2500  4 Zr 2.88, 4 Sb 2.88
Co1 0.7500 0.7500 0.7500  4 Zr 2.88, 4 Sb 2.88
Sb1 0.5000 0.5000 0.5000  4 Co 2.88, 4 Sc 2.88


Entry 4:
Material: SmGaCu2Pd2
Method: DFT, PBE
State: optimized geometry

Output
calculated total energy	-4.820	eV per atom

Cell lengths 5.2197, 5.2197, 4.3067 Å; angles 90.00, 90.00, 119.19 degrees
Closest atoms and distances in Å follow each position.
Atoms (fractional coordinates):
Sm1 0.0000 0.0000 0.0000  6 Pd 3.01-3.03
Ga1 0.5000 0.5000 0.5000  4 Cu 2.61, 4 Pd 2.62
Cu1 0.0000 0.5000 0.5000  2 Ga 2.61, 4 Pd 2.64, 2 Cu 2.64
Cu2 0.5000 0.0000 0.5000  2 Ga 2.61, 4 Pd 2.64, 2 Cu 2.64
Pd1 0.3347 0.6653 0.0000  2 Ga 2.62, 4 Cu 2.64
Pd2 0.6653 0.3347 0.0000  2 Ga 2.62, 4 Cu 2.64


Entry 5:
Material: ScZnCu4B2
Method: DFT, PBE
State: optimized geometry

Output
energy above the lowest structure with this stoichiometry	0	meV per atom
calculated total energy	-4.151	eV per atom

Cell lengths 3.8031, 3.8031, 6.4861 Å; angles 90.00, 90.00, 90.00 degrees
Closest atoms and distances in Å follow each position.
Atoms (fractional coordinates):
Sc1 0.0000 0.0000 0.0000  8 Cu 2.61, 4 B 2.69
Zn1 0.5000 0.5000 0.5000  8 Cu 2.39
Cu1 0.0000 0.5000 0.2760  2 Zn 2.39, 4 B 2.39-2.61, 2 Sc 2.61
Cu2 0.0000 0.5000 0.7240  2 Zn 2.39, 4 B 2.39-2.61, 2 Sc 2.61
Cu3 0.5000 0.0000 0.2760  2 Zn 2.39, 4 B 2.39-2.61, 2 Sc 2.61
Cu4 0.5000 0.0000 0.7240  2 Zn 2.39, 4 B 2.39-2.61, 2 Sc 2.61
B1 0.0000 0.0000 0.5000  8 Cu 2.39
B2 0.5000 0.5000 0.0000  8 Cu 2.61, 4 Sc 2.69


Entry 6:
Material: YTmCd2Cu4
Method: DFT, PBE
State: optimized geometry

Output
energy relative to the elements	-213	meV/atom
calculated total energy	-3.663	eV per atom

Cell lengths 4.6609, 4.6609, 6.5987 Å; angles 90.00, 90.00, 90.00 degrees
Closest atoms and distances in Å follow each position.
Atoms (fractional coordinates):
Y1 0.0000 0.0000 0.0000  8 Cu 2.88
Tm1 0.5000 0.5000 0.5000  8 Cu 2.83
Cd1 0.0000 0.0000 0.5000  8 Cu 2.83
Cd2 0.5000 0.5000 0.0000  8 Cu 2.88
Cu1 0.0000 0.5000 0.2556  2 Tm 2.83, 4 Cd 2.83-2.88, 2 Y 2.88
Cu2 0.0000 0.5000 0.7444  2 Tm 2.83, 4 Cd 2.83-2.88, 2 Y 2.88
Cu3 0.5000 0.0000 0.2556  2 Tm 2.83, 4 Cd 2.83-2.88, 2 Y 2.88
Cu4 0.5000 0.0000 0.7444  2 Tm 2.83, 4 Cd 2.83-2.88, 2 Y 2.88


> Which formula does entry 6 have?

YTmCd2Cu4


> Among the records above, which one has the highest calculated total energy?

YTmCd2Cu4


> What is the formula in the fifth record?

ScZnCu4B2